Record 1
Material: SrLi2Al2Ag2
Method: DFT, PBE
State: optimized geometry

Cell lengths 4.601, 4.595, 8.402 Å; angles 105.83, 90.00, 120.04 degrees
Sites, in units of the cell vectors:
Al  0.440  0.880  0.323
Li  0.139  0.279  0.420
Ag  0.753  0.506  0.260
Sr  0.000  0.000  0.000
Al  0.560  0.120  0.677
Li  0.861  0.721  0.580
Ag  0.247  0.494  0.740

Results
As for the crystal system: monoclinic. The formation energy is -1.74 eV/f.u. As for the space group: C2/m, No. 12.

---

Record 2
Material: Hg4Se3
Method: DFT, PBE
State: optimized geometry

Cell lengths 6.312, 6.312, 6.312 Å; angles 90.00, 90.00, 90.00 degrees
Sites, in units of the cell vectors:
Hg  0.745  0.255  0.255
Se  0.000  0.500  0.500
Se  0.500  0.000  0.500
Hg  0.255  0.745  0.255
Hg  0.745  0.745  0.745
Se  0.500  0.500  0.000
Hg  0.255  0.255  0.745

Results
As for the crystal system: cubic. As for the space group: P-43m, No. 215. The value obtained for the offset from the most stable computed form is 0.042 eV/atom.